Record 1
An optimized crystal structure of FeOsRu2, computed with PBE.

a = 4.6407 Å, b = 4.6407 Å, c = 4.6006 Å
α = 99.43°, β = 99.43°, γ = 33.64°
Element x y z (fractional)
Fe  0.0000  0.0000  0.0000
Os  0.5000  0.5000  0.5000
Ru  0.2490  0.2490  0.7520
Ru  0.7510  0.7510  0.2480

Summary:
As for the raw total energy: -9.427 eV/atom. The volume comes out at 13.5 A^3/atom. For the size of the total moment, the calculation gives 1.90 μB/cell.

***

Record 2
An optimized crystal structure of Li2Tb2PmPb2, computed with PBE.

a = 9.4756 Å, b = 9.4756 Å, c = 9.4756 Å
α = 29.76°, β = 29.76°, γ = 29.76°
Element x y z (fractional)
Li  0.0917  0.0917  0.0917
Li  0.9083  0.9083  0.9083
Tb  0.3701  0.3701  0.3701
Tb  0.6299  0.6299  0.6299
Pm  0.5000  0.5000  0.5000
Pb  0.2376  0.2376  0.2376
Pb  0.7624  0.7624  0.7624

Summary:
As for the raw total energy: -3.940 eV/atom. The volume comes out at 26.5 A^3/atom. For the size of the total moment, the calculation gives 0.00 μB/cell.